1.
A plane-wave DFT calculation with PBE-GGA was carried out for an optimized crystal structure of SrGe2SbIr.

The structure in CIF format:
```
data_SrGe2SbIr
_symmetry_space_group_name_H-M 'P 4/m m m'
_symmetry_Int_Tables_number 123
_symmetry_space_group_name_Hall '-P 4 2'
_cell_length_a 4.7421
_cell_length_b 4.7421
_cell_length_c 6.0914
_cell_angle_alpha 90.00
_cell_angle_beta 90.00
_cell_angle_gamma 90.00
loop_
_atom_site_label
_atom_site_fract_x
_atom_site_fract_y
_atom_site_fract_z
Sr1 0.0000 0.0000 0.0000
Ge1 0.0000 0.5000 0.5000
Sb1 0.5000 0.5000 0.0000
Ir1 0.5000 0.5000 0.5000
```

Computed properties:
Formation energy (no corrections) (eV/atom): -0.1147
Crystal system: tetragonal

=====

2.
A plane-wave DFT calculation with PBE-GGA was carried out for an optimized crystal structure of SrMnIr2.

The structure in CIF format:
```
data_SrMnIr2
_symmetry_space_group_name_H-M 'P 4/m m m'
_symmetry_Int_Tables_number 123
_symmetry_space_group_name_Hall '-P 4 2'
_cell_length_a 3.0371
_cell_length_b 3.0371
_cell_length_c 7.6883
_cell_angle_alpha 90.00
_cell_angle_beta 90.00
_cell_angle_gamma 90.00
loop_
_atom_site_label
_atom_site_fract_x
_atom_site_fract_y
_atom_site_fract_z
Sr1 0.0000 0.0000 0.0000
Mn1 0.0000 0.0000 0.5000
Ir1 0.5000 0.5000 0.3092
```

Computed properties:
DFT formation energy (meV per atom): 70
Energy relative to the lowest polymorph listed for this composition (meV per atom): 144.6
Crystal system: tetragonal

=====

3.
A plane-wave DFT calculation with PBE-GGA was carried out for an optimized crystal structure of Zn2Cu2Pt5.

The structure in CIF format:
```
data_Zn2Cu2Pt5
_symmetry_space_group_name_H-M 'I m a 2'
_symmetry_Int_Tables_number 46
_symmetry_space_group_name_Hall 'I 2 -2a'
_cell_length_a 15.7541
_cell_length_b 7.5045
_cell_length_c 4.4864
_cell_angle_alpha 90.00
_cell_angle_beta 90.00
_cell_angle_gamma 90.00
loop_
_atom_site_label
_atom_site_fract_x
_atom_site_fract_y
_atom_site_fract_z
Zn1 0.0000 0.0000 0.0000
Zn2 0.2500 0.1701 0.5015
Cu1 0.0875 0.6808 0.0002
Pt1 0.0778 0.1549 0.5002
Pt2 0.1627 0.0044 0.0004
Pt3 0.2500 0.6606 0.0002
```

Computed properties:
DFT formation energy (meV per atom): -208
Crystal system: orthorhombic

=====

4.
A plane-wave DFT calculation with PBE-GGA was carried out for an optimized crystal structure of TcMo2As.

The structure in CIF format:
```
data_TcMo2As
_symmetry_space_group_name_H-M 'P 4 m m'
_symmetry_Int_Tables_number 99
_symmetry_space_group_name_Hall 'P 4 -2'
_cell_length_a 3.1494
_cell_length_b 3.1494
_cell_length_c 6.2338
_cell_angle_alpha 90.00
_cell_angle_beta 90.00
_cell_angle_gamma 90.00
loop_
_atom_site_label
_atom_site_fract_x
_atom_site_fract_y
_atom_site_fract_z
Tc1 0.0000 0.0000 0.0000
Mo1 0.0000 0.0000 0.4924
Mo2 0.5000 0.5000 0.7769
As1 0.5000 0.5000 0.2770
```

Computed properties:
DFT formation energy (meV per atom): 56
Crystal system: tetragonal

=====

5.
A plane-wave DFT calculation with PBE-GGA was carried out for an optimized crystal structure of Ti2CdPd4.

The structure in CIF format:
```
data_Ti2CdPd4
_symmetry_space_group_name_H-M 'P 1'
_symmetry_Int_Tables_number 1
_symmetry_space_group_name_Hall 'P 1'
_cell_length_a 5.4607
_cell_length_b 6.9776
_cell_length_c 7.2960
_cell_angle_alpha 111.58
_cell_angle_beta 106.40
_cell_angle_gamma 103.92
loop_
_atom_site_label
_atom_site_fract_x
_atom_site_fract_y
_atom_site_fract_z
Ti1 0.0000 0.0000 0.0000
Ti2 0.0686 0.4529 0.8145
Ti3 0.5774 0.4722 0.8290
Ti4 0.7673 0.8115 0.3165
Cd1 0.2283 0.6337 0.5113
Cd2 0.6205 0.2096 0.3590
Pd1 0.1454 0.1989 0.4249
Pd2 0.1841 0.7821 0.1988
Pd3 0.2038 0.0664 0.7369
Pd4 0.3789 0.4296 0.1499
Pd5 0.4933 0.8672 0.9553
Pd6 0.6653 0.0527 0.6626
Pd7 0.7820 0.6632 0.6227
Pd8 0.8339 0.3448 0.0956
```

Computed properties:
DFT formation energy (meV per atom): -451
Crystal system: triclinic

=====

6.
A plane-wave DFT calculation with PBE-GGA was carried out for an optimized crystal structure of Ca5Ge4.

The structure in CIF format:
```
data_Ca5Ge4
_symmetry_space_group_name_H-M 'C 1 2/m 1'
_symmetry_Int_Tables_number 12
_symmetry_space_group_name_Hall '-C 2y'
_cell_length_a 10.8667
_cell_length_b 4.6062
_cell_length_c 10.0881
_cell_angle_alpha 90.00
_cell_angle_beta 111.34
_cell_angle_gamma 90.00
loop_
_atom_site_label
_atom_site_fract_x
_atom_site_fract_y
_atom_site_fract_z
Ca1 0.0000 0.0000 0.0000
Ca2 0.0995 0.0000 0.3935
Ca3 0.2417 0.0000 0.8240
Ge1 0.0479 0.5000 0.8330
Ge2 0.1136 0.5000 0.6092
```

Computed properties:
DFT formation energy (meV per atom): -626
Crystal system: monoclinic

=====

7.
A plane-wave DFT calculation with PBE-GGA was carried out for an optimized crystal structure of KTl3Ru.

The structure in CIF format:
```
data_KTl3Ru
_symmetry_space_group_name_H-M 'P m -3 m'
_symmetry_Int_Tables_number 221
_symmetry_space_group_name_Hall '-P 4 2 3'
_cell_length_a 5.8940
_cell_length_b 5.8940
_cell_length_c 5.8940
_cell_angle_alpha 90.00
_cell_angle_beta 90.00
_cell_angle_gamma 90.00
loop_
_atom_site_label
_atom_site_fract_x
_atom_site_fract_y
_atom_site_fract_z
K1 0.0000 0.0000 0.0000
Tl1 0.0000 0.0000 0.5000
Ru1 0.5000 0.5000 0.5000
```

Computed properties:
DFT formation energy (meV per atom): 1590
Energy relative to the lowest polymorph listed for this composition (meV per atom): 1535.7
Crystal system: cubic

=====

8.
A plane-wave DFT calculation with PBE-GGA was carried out for an optimized crystal structure of Cs3Nd3GeO8.

The structure in CIF format:
```
data_Cs3Nd3GeO8
_symmetry_space_group_name_H-M 'R -3 m'
_symmetry_Int_Tables_number 166
_symmetry_space_group_name_Hall '-R 3 2"'
_cell_length_a 7.0820
_cell_length_b 7.0820
_cell_length_c 20.9822
_cell_angle_alpha 90.00
_cell_angle_beta 90.00
_cell_angle_gamma 120.00
loop_
_atom_site_label
_atom_site_fract_x
_atom_site_fract_y
_atom_site_fract_z
Cs1 0.0000 0.5000 0.0000
Nd1 0.0000 0.5000 0.5000
Ge1 0.0000 0.0000 0.5000
O1 0.0000 0.0000 0.2219
O2 0.0480 0.5240 0.2176
```

Computed properties:
Formation energy (no corrections) (eV/atom): -2.2637
Crystal system: trigonal

=====

9.
A plane-wave DFT calculation with PBE-GGA was carried out for an optimized crystal structure of CaAgMo.

The structure in CIF format:
```
data_CaAgMo
_symmetry_space_group_name_H-M 'F -4 3 m'
_symmetry_Int_Tables_number 216
_symmetry_space_group_name_Hall 'F -4 2 3'
_cell_length_a 6.8267
_cell_length_b 6.8267
_cell_length_c 6.8267
_cell_angle_alpha 90.00
_cell_angle_beta 90.00
_cell_angle_gamma 90.00
loop_
_atom_site_label
_atom_site_fract_x
_atom_site_fract_y
_atom_site_fract_z
Ca1 0.0000 0.0000 0.0000
Ag1 0.2500 0.2500 0.7500
Mo1 0.0000 0.0000 0.5000
```

Computed properties:
DFT formation energy (meV per atom): 990
Energy relative to the lowest polymorph listed for this composition (meV per atom): 440.8
Crystal system: cubic

=====

10.
A plane-wave DFT calculation with PBE-GGA was carried out for an optimized crystal structure of CePmTlI.

The structure in CIF format:
```
data_CePmTlI
_symmetry_space_group_name_H-M 'F -4 3 m'
_symmetry_Int_Tables_number 216
_symmetry_space_group_name_Hall 'F -4 2 3'
_cell_length_a 7.8084
_cell_length_b 7.8084
_cell_length_c 7.8084
_cell_angle_alpha 90.00
_cell_angle_beta 90.00
_cell_angle_gamma 90.00
loop_
_atom_site_label
_atom_site_fract_x
_atom_site_fract_y
_atom_site_fract_z
Ce1 0.0000 0.0000 0.0000
Pm1 0.0000 0.0000 0.5000
Tl1 0.2500 0.2500 0.7500
I1 0.2500 0.2500 0.2500
```

Computed properties:
Formation energy (no corrections) (eV/atom): -0.4369
Crystal system: cubic

=====

11.
A plane-wave DFT calculation with PBE-GGA was carried out for an optimized crystal structure of MnCr2P.

The structure in CIF format:
```
data_MnCr2P
_symmetry_space_group_name_H-M 'R -3 m'
_symmetry_Int_Tables_number 166
_symmetry_space_group_name_Hall '-R 3 2"'
_cell_length_a 2.6147
_cell_length_b 2.6147
_cell_length_c 23.2034
_cell_angle_alpha 90.00
_cell_angle_beta 90.00
_cell_angle_gamma 120.00
loop_
_atom_site_label
_atom_site_fract_x
_atom_site_fract_y
_atom_site_fract_z
Mn1 0.0000 0.0000 0.0000
Cr1 0.0000 0.0000 0.2486
P1 0.0000 0.0000 0.5000
```

Computed properties:
DFT formation energy (meV per atom): 106
Crystal system: trigonal

=====

12.
A plane-wave DFT calculation with PBE-GGA was carried out for an optimized crystal structure of Ag2OsPb.

The structure in CIF format:
```
data_Ag2OsPb
_symmetry_space_group_name_H-M 'I 4/m m m'
_symmetry_Int_Tables_number 139
_symmetry_space_group_name_Hall '-I 4 2'
_cell_length_a 3.9880
_cell_length_b 3.9880
_cell_length_c 9.5097
_cell_angle_alpha 90.00
_cell_angle_beta 90.00
_cell_angle_gamma 90.00
loop_
_atom_site_label
_atom_site_fract_x
_atom_site_fract_y
_atom_site_fract_z
Ag1 0.0000 0.5000 0.2500
Os1 0.0000 0.0000 0.0000
Pb1 0.0000 0.0000 0.5000
```

Computed properties:
DFT formation energy (meV per atom): 769
Crystal system: tetragonal

=====

13.
A plane-wave DFT calculation with PBE-GGA was carried out for an optimized crystal structure of Pm2Nd2Te7.

The structure in CIF format:
```
data_Pm2Nd2Te7
_symmetry_space_group_name_H-M 'C m m m'
_symmetry_Int_Tables_number 65
_symmetry_space_group_name_Hall '-C 2 2'
_cell_length_a 11.0696
_cell_length_b 11.3558
_cell_length_c 6.9194
_cell_angle_alpha 90.00
_cell_angle_beta 90.00
_cell_angle_gamma 90.00
loop_
_atom_site_label
_atom_site_fract_x
_atom_site_fract_y
_atom_site_fract_z
Pm1 0.2288 0.0000 0.0000
Nd1 0.0000 0.2351 0.5000
Te1 0.0000 0.0000 0.2512
Te2 0.0000 0.5000 0.5000
Te3 0.2500 0.2500 0.2412
```

Computed properties:
Formation energy (no corrections) (eV/atom): -1.0566
Crystal system: orthorhombic

=====

14.
A plane-wave DFT calculation with PBE-GGA was carried out for an optimized crystal structure of Mg3Fe5H12.

The structure in CIF format:
```
data_Mg3Fe5H12
_symmetry_space_group_name_H-M 'I a -3 d'
_symmetry_Int_Tables_number 230
_symmetry_space_group_name_Hall '-I 4bd 2c 3'
_cell_length_a 10.5549
_cell_length_b 10.5549
_cell_length_c 10.5549
_cell_angle_alpha 90.00
_cell_angle_beta 90.00
_cell_angle_gamma 90.00
loop_
_atom_site_label
_atom_site_fract_x
_atom_site_fract_y
_atom_site_fract_z
Mg1 0.0000 0.2500 0.1250
Fe1 0.0000 0.0000 0.0000
Fe2 0.0000 0.2500 0.3750
H1 0.0204 0.0549 0.6429
```

Computed properties:
Total DFT energy (no corrections) (eV/atom): -4.356
Crystal system: cubic

=====

15.
A plane-wave DFT calculation with PBE-GGA was carried out for an optimized crystal structure of Ti4NbH8.

The structure in CIF format:
```
data_Ti4NbH8
_symmetry_space_group_name_H-M 'P m -3 m'
_symmetry_Int_Tables_number 221
_symmetry_space_group_name_Hall '-P 4 2 3'
_cell_length_a 4.8631
_cell_length_b 4.8631
_cell_length_c 4.8631
_cell_angle_alpha 90.00
_cell_angle_beta 90.00
_cell_angle_gamma 90.00
loop_
_atom_site_label
_atom_site_fract_x
_atom_site_fract_y
_atom_site_fract_z
Ti1 0.0000 0.0000 0.0000
Ti2 0.0000 0.5000 0.5000
Nb1 0.5000 0.5000 0.5000
H1 0.2430 0.2430 0.2430
```

Computed properties:
Total DFT energy (no corrections) (eV/atom): -5.247
Crystal system: cubic

=====

16.
A plane-wave DFT calculation with PBE-GGA was carried out for an optimized crystal structure of CePm2NbN4.

The structure in CIF format:
```
data_CePm2NbN4
_symmetry_space_group_name_H-M 'C m c m'
_symmetry_Int_Tables_number 63
_symmetry_space_group_name_Hall '-C 2c 2'
_cell_length_a 3.4622
_cell_length_b 12.1268
_cell_length_c 12.4627
_cell_angle_alpha 90.00
_cell_angle_beta 90.00
_cell_angle_gamma 90.00
loop_
_atom_site_label
_atom_site_fract_x
_atom_site_fract_y
_atom_site_fract_z
Ce1 0.0000 0.1007 0.2500
Pm1 0.0000 0.3696 0.0358
Nb1 0.0000 0.1623 0.7500
N1 0.0000 0.0000 0.0000
N2 0.0000 0.2660 0.6293
N3 0.0000 0.4467 0.2500
```

Computed properties:
Formation energy (no corrections) (eV/atom): -1.1357
Crystal system: orthorhombic

=====

17.
A plane-wave DFT calculation with PBE-GGA was carried out for an optimized crystal structure of Pm5Sm3Y.

The structure in CIF format:
```
data_Pm5Sm3Y
_symmetry_space_group_name_H-M 'C 1 2/c 1'
_symmetry_Int_Tables_number 15
_symmetry_space_group_name_Hall '-C 2yc'
_cell_length_a 20.4260
_cell_length_b 6.2798
_cell_length_c 11.7526
_cell_angle_alpha 90.00
_cell_angle_beta 122.78
_cell_angle_gamma 90.00
loop_
_atom_site_label
_atom_site_fract_x
_atom_site_fract_y
_atom_site_fract_z
Pm1 0.0000 0.0821 0.2500
Pm2 0.1387 0.1760 0.6523
Pm3 0.1790 0.3130 0.3325
Sm1 0.0000 0.5000 0.0000
Sm2 0.1782 0.2772 0.0284
Y1 0.0000 0.4063 0.7500
```

Computed properties:
DFT formation energy (meV per atom): 279
Energy relative to the lowest polymorph listed for this composition (meV per atom): 0.0
Crystal system: monoclinic

=====

18.
A plane-wave DFT calculation with PBE-GGA was carried out for an optimized crystal structure of Ce3Zn6Ga5.

The structure in CIF format:
```
data_Ce3Zn6Ga5
_symmetry_space_group_name_H-M 'P m m n'
_symmetry_Int_Tables_number 59
_cell_length_a 4.3435
_cell_length_b 12.8738
_cell_length_c 9.5705
_cell_angle_alpha 90.00
_cell_angle_beta 90.00
_cell_angle_gamma 90.00
loop_
_symmetry_equiv_pos_as_xyz
'x,y,z'
'-x,-y,-z'
'-x+1/2,-y+1/2,z'
'x+1/2,y+1/2,-z'
'x+1/2,-y,-z'
'-x+1/2,y,z'
'-x,y+1/2,-z'
'x,-y+1/2,z'
loop_
_atom_site_label
_atom_site_fract_x
_atom_site_fract_y
_atom_site_fract_z
Ce1 0.2500 0.0628 0.2481
Ce2 0.2500 0.7500 0.2490
Zn1 0.2500 0.0866 0.6137
Zn2 0.2500 0.2500 0.0361
Zn3 0.2500 0.2500 0.4587
Zn4 0.2500 0.6010 0.9797
Ga1 0.2500 0.0902 0.8748
Ga2 0.2500 0.6101 0.5268
Ga3 0.2500 0.7500 0.7686
```

Computed properties:
DFT formation energy (meV per atom): -403
Crystal system: orthorhombic

=====

19.
A plane-wave DFT calculation with PBE-GGA was carried out for an optimized crystal structure of Ag3RhI.

The structure in CIF format:
```
data_Ag3RhI
_symmetry_space_group_name_H-M 'P m -3 m'
_symmetry_Int_Tables_number 221
_symmetry_space_group_name_Hall '-P 4 2 3'
_cell_length_a 5.1248
_cell_length_b 5.1248
_cell_length_c 5.1248
_cell_angle_alpha 90.00
_cell_angle_beta 90.00
_cell_angle_gamma 90.00
loop_
_atom_site_label
_atom_site_fract_x
_atom_site_fract_y
_atom_site_fract_z
Ag1 0.0000 0.0000 0.5000
Rh1 0.0000 0.0000 0.0000
I1 0.5000 0.5000 0.5000
```

Computed properties:
Energy relative to the lowest polymorph listed for this composition (meV per atom): 0.0
Formation energy (no corrections) (eV/atom): 0.8310
Crystal system: cubic